Below is a geometry-optimized Rb2BiTeI6 structure, with properties calculated at the PBE level.

The space group is I4/mmm (No. 139) and the conventional cell measures 8.9349, 8.9349 and 12.4350 Å, with angles of 90.00, 90.00 and 90.00 degrees. The inequivalent atoms are Rb at (0.0000, 0.5000, 0.2500), Bi at (0.0000, 0.0000, 0.0000), Te at (0.0000, 0.0000, 0.5000), I at (0.0000, 0.0000, 0.2501) and I at (0.2468, 0.2468, 0.0000).

As for the formation energy (no corrections): -0.668 eV per atom. For the magnetization, the calculation gives 0.0 μB per cell. The calculation puts the calculated volume at 49.6 Å³ per atom.

Below is a geometry-optimized SnIrPd2 structure, with properties calculated at the PBE level.

The space group is P4/mmm (No. 123) and the conventional cell measures 3.9692, 3.9692 and 4.1188 Å, with angles of 90.00, 90.00 and 90.00 degrees. The inequivalent atoms are Sn at (0.0000, 0.0000, 0.0000), Ir at (0.5000, 0.5000, 0.0000) and Pd at (0.0000, 0.5000, 0.5000).

For the magnetization, the calculation gives 0.0 μB per cell. The calculation puts the calculated volume at 16.2 Å³ per atom. For the formation energy, the calculation gives -0.23 eV per atom.

Below is a geometry-optimized KFe3 structure, with properties calculated at the PBE level.

The space group is Cmcm (No. 63) and the conventional cell measures 7.7658, 9.6805 and 4.0456 Å, with angles of 90.00, 90.00 and 90.00 degrees. The inequivalent atoms are K at (0.0000, 0.0979, 0.2500), Fe at (0.0000, 0.4247, 0.2500) and Fe at (0.1465, 0.3254, 0.7500).

For the magnetization, the calculation gives 32.2 μB per cell. The calculation puts the calculated volume at 19.0 Å³ per atom. For the formation energy, the calculation gives 0.96 eV per atom.

Below is a geometry-optimized NaS6F2 structure, with properties calculated at the PBE level.

The space group is P-1 (No. 2) and the conventional cell measures 3.8068, 6.8630 and 7.5479 Å, with angles of 93.08, 96.62 and 91.34 degrees. The inequivalent atoms are Na at (0.0000, 0.0000, 0.0000), S at (0.1793, 0.2944, 0.5658), S at (0.4194, 0.2805, 0.3377), S at (0.4827, 0.5640, 0.2330) and F at (0.4871, 0.1728, 0.9117).

As for the formation energy (no corrections): -0.643 eV per atom. For the magnetization, the calculation gives 0.0 μB per cell. The calculation puts the calculated volume at 21.7 Å³ per atom.

Below is a geometry-optimized NaTeN2O structure, with properties calculated at the PBE level.

The space group is P4/mmm (No. 123) and the conventional cell measures 4.3842, 4.3842 and 4.1605 Å, with angles of 90.00, 90.00 and 90.00 degrees. The inequivalent atoms are Na at (0.0000, 0.0000, 0.0000), Te at (0.5000, 0.5000, 0.0000), N at (0.0000, 0.5000, 0.5000) and O at (0.5000, 0.5000, 0.5000).

As for the formation energy (no corrections): 1.685 eV per atom. For the magnetization, the calculation gives 2.9 μB per cell. The calculation puts the calculated volume at 16.0 Å³ per atom.

Below is a geometry-optimized Tl2SnRuW structure, with properties calculated at the PBE level.

The space group is P4/mmm (No. 123) and the conventional cell measures 5.2426, 5.2426 and 5.0834 Å, with angles of 90.00, 90.00 and 90.00 degrees. The inequivalent atoms are Tl at (0.0000, 0.5000, 0.0000), Sn at (0.0000, 0.0000, 0.5000), Ru at (0.0000, 0.0000, 0.0000) and W at (0.5000, 0.5000, 0.5000).

For the magnetization, the calculation gives 4.7 μB per cell. The calculation puts the calculated volume at 27.9 Å³ per atom. For the formation energy, the calculation gives 1.35 eV per atom.

Below is a geometry-optimized TbGdTh2 structure, with properties calculated at the PBE level.

The space group is R-3m (No. 166, hexagonal axes) and the conventional cell measures 3.4799, 3.4799 and 37.4611 Å, with angles of 90.00, 90.00 and 120.00 degrees. The inequivalent atoms are Tb at (0.0000, 0.0000, 0.0000), Gd at (0.0000, 0.0000, 0.5000) and Th at (0.0000, 0.0000, 0.0870).

For the magnetization, the calculation gives 22.0 μB per cell. The calculation puts the calculated volume at 32.7 Å³ per atom. For the formation energy, the calculation gives 0.22 eV per atom.

Below is a geometry-optimized SrCePO6 structure, with properties calculated at the PBE level.

The space group is P312 (No. 149) and the conventional cell measures 5.3951, 5.3951 and 5.1692 Å, with angles of 90.00, 90.00 and 120.00 degrees. The inequivalent atoms are Sr at (0.0000, 0.0000, 0.0000), Ce at (0.3333, 0.6667, 0.5000), P at (0.6667, 0.3333, 0.5000) and O at (0.4059, 0.0707, 0.6920).

As for the formation energy (no corrections): -2.405 eV per atom. For the magnetization, the calculation gives 1.1 μB per cell. The calculation puts the calculated volume at 14.5 Å³ per atom.

Below is a geometry-optimized CsKRb2Li structure, with properties calculated at the PBE level.

The space group is P4/mmm (No. 123) and the conventional cell measures 7.4828, 7.4828 and 7.2592 Å, with angles of 90.00, 90.00 and 90.00 degrees. The inequivalent atoms are Cs at (0.0000, 0.0000, 0.0000), K at (0.5000, 0.5000, 0.0000), Rb at (0.0000, 0.5000, 0.5000) and Li at (0.5000, 0.5000, 0.5000).

For the magnetization, the calculation gives 0.0 μB per cell. The calculation puts the calculated volume at 81.3 Å³ per atom. For the formation energy, the calculation gives 0.11 eV per atom.

Below is a geometry-optimized Ac5PrTe8 structure, with properties calculated at the PBE level.

The space group is I-4 (No. 82) and the conventional cell measures 9.9375, 9.9375 and 9.8955 Å, with angles of 90.00, 90.00 and 90.00 degrees. The inequivalent atoms are Ac at (0.0000, 0.0000, 0.0000), Ac at (0.1294, 0.7500, 0.6255), Pr at (0.0000, 0.5000, 0.2500), Te at (0.0735, 0.8227, 0.2981) and Te at (0.0759, 0.6712, 0.9538).

As for the formation energy (no corrections): -1.552 eV per atom. For the magnetization, the calculation gives 0.0 μB per cell. The calculation puts the calculated volume at 34.9 Å³ per atom.

Below is a geometry-optimized KHfAsSe2 structure, with properties calculated at the PBE level.

The space group is P4/mmm (No. 123) and the conventional cell measures 5.2612, 5.2612 and 5.2267 Å, with angles of 90.00, 90.00 and 90.00 degrees. The inequivalent atoms are K at (0.0000, 0.0000, 0.0000), Hf at (0.5000, 0.5000, 0.5000), As at (0.5000, 0.5000, 0.0000) and Se at (0.0000, 0.5000, 0.5000).

As for the formation energy (no corrections): -0.760 eV per atom. For the magnetization, the calculation gives 0.5 μB per cell. The calculation puts the calculated volume at 28.9 Å³ per atom.

Below is a geometry-optimized RbHg3F structure, with properties calculated at the PBE level.

The space group is Pm-3m (No. 221) and the conventional cell measures 6.9710, 6.9710 and 6.9710 Å, with angles of 90.00, 90.00 and 90.00 degrees. The inequivalent atoms are Rb at (0.0000, 0.0000, 0.0000), Hg at (0.0000, 0.0000, 0.5000) and F at (0.5000, 0.5000, 0.5000).

As for the formation energy (no corrections): -0.272 eV per atom. For the magnetization, the calculation gives 0.0 μB per cell. The calculation puts the calculated volume at 67.8 Å³ per atom.